Record 1
A plane-wave DFT calculation with GGA-PBE was carried out for a relaxed structure of Dy4N3F.

## Properties
- Electronic total energy: -60.5 eV/f.u.

Geometry as CIF:
```
data_Dy4N3F
_cell_length_a 7.001
_cell_length_b 9.807
_cell_length_c 3.463
_cell_angle_alpha 90.00
_cell_angle_beta 90.00
_cell_angle_gamma 90.00
_space_group_name_H-M_alt 'C m m m'
_space_group_IT_number 65
_space_group_name_Hall '-C 2 2'
loop_
_atom_site_label
_atom_site_fract_x
_atom_site_fract_y
_atom_site_fract_z
_atom_site_occupancy
Dy1 0.000 0.242 0.000 1
Dy2 0.231 0.000 0.500 1
N1 0.000 0.000 0.000 1
N2 0.250 0.250 0.500 1
F1 0.000 0.500 0.000 1
```


Record 2
A plane-wave DFT calculation with GGA-PBE was carried out for a relaxed structure of DyNF2.

## Properties
- Electronic total energy: -25.2 eV/f.u.

Geometry as CIF:
```
data_DyNF2
_cell_length_a 4.784
_cell_length_b 3.974
_cell_length_c 6.877
_cell_angle_alpha 90.00
_cell_angle_beta 91.05
_cell_angle_gamma 90.00
_space_group_name_H-M_alt 'P 1 21/m 1'
_space_group_IT_number 11
loop_
_space_group_symop_operation_xyz
'x,y,z'
'-x,-y,-z'
'-x,y+1/2,-z'
'x,-y+1/2,z'
loop_
_atom_site_label
_atom_site_fract_x
_atom_site_fract_y
_atom_site_fract_z
_atom_site_occupancy
Dy1 0.018 0.250 0.248 1
N1 0.482 0.750 0.708 1
F1 0.057 0.250 0.600 1
F2 0.141 0.750 0.067 1
```


Record 3
A plane-wave DFT calculation with GGA-PBE was carried out for a relaxed structure of Na3DyF8.

## Properties
- Electronic total energy: -56.1 eV/f.u.

Geometry as CIF:
```
data_Na3DyF8
_cell_length_a 5.416
_cell_length_b 5.416
_cell_length_c 11.407
_cell_angle_alpha 90.00
_cell_angle_beta 90.00
_cell_angle_gamma 90.00
_space_group_name_H-M_alt 'I 4/m m m'
_space_group_IT_number 139
_space_group_name_Hall '-I 4 2'
loop_
_atom_site_label
_atom_site_fract_x
_atom_site_fract_y
_atom_site_fract_z
_atom_site_occupancy
Na1 0.000 0.000 0.000 1
Na2 0.000 0.500 0.250 1
Dy1 0.000 0.000 0.500 1
F1 0.239 0.239 0.381 1
```


Record 4
A plane-wave DFT calculation with GGA-PBE was carried out for a relaxed structure of NaDyF4.

## Properties
- Electronic total energy: -35.7 eV/f.u.

Geometry as CIF:
```
data_NaDyF4
_cell_length_a 3.827
_cell_length_b 3.827
_cell_length_c 5.559
_cell_angle_alpha 90.00
_cell_angle_beta 90.00
_cell_angle_gamma 90.00
_space_group_name_H-M_alt 'P 4/m m m'
_space_group_IT_number 123
_space_group_name_Hall '-P 4 2'
loop_
_atom_site_label
_atom_site_fract_x
_atom_site_fract_y
_atom_site_fract_z
_atom_site_occupancy
Na1 0.000 0.000 0.000 1
Dy1 0.500 0.500 0.500 1
F1 0.000 0.500 0.270 1
```